Entry 1:
The following is a DFT calculation (GGA-PBE) of crystalline CaAc2TlTe4 at its relaxed geometry.

Summary:
Space group: P2/m
Electronic total energy: -35.66 eV/f.u.
Crystal system: monoclinic

Cell: 8.219 4.688 8.225 Å, 90.00 108.97 90.00°
Element x y z (fractional)
1 Ca 0.000 0.000 0.000
2 Ac 0.000 0.500 0.500
3 Ac 0.500 0.000 0.500
4 Tl 0.500 0.500 0.000
5 Te 0.240 0.500 0.242
6 Te 0.241 0.000 0.748
7 Te 0.759 0.000 0.252
8 Te 0.760 0.500 0.758

=====

Entry 2:
The following is a DFT calculation (GGA-PBE) of crystalline Ca2AcTlTe4 at its relaxed geometry.

Summary:
Space group: P2/m
Electronic total energy: -33.90 eV/f.u.
Crystal system: monoclinic

Cell: 8.068 4.680 8.097 Å, 90.00 108.70 90.00°
Element x y z (fractional)
1 Ca 0.000 0.000 0.000
2 Ca 0.000 0.500 0.500
3 Ac 0.500 0.000 0.500
4 Tl 0.500 0.500 0.000
5 Te 0.230 0.000 0.735
6 Te 0.237 0.500 0.251
7 Te 0.763 0.500 0.749
8 Te 0.770 0.000 0.265

=====

Entry 3:
The following is a DFT calculation (GGA-PBE) of crystalline Ca2Ac3TmTe6 at its relaxed geometry.

Summary:
Space group: C2/m
Electronic total energy: -57.28 eV/f.u.
Crystal system: monoclinic

Cell: 7.815 7.815 8.159 Å, 99.18 99.18 120.06°
Element x y z (fractional)
1 Ca 0.166 0.834 0.000
2 Ca 0.834 0.166 0.000
3 Ac 0.000 0.000 0.500
4 Ac 0.327 0.673 0.500
5 Ac 0.673 0.327 0.500
6 Tm 0.500 0.500 0.000
7 Te 0.100 0.426 0.777
8 Te 0.252 0.252 0.231
9 Te 0.426 0.100 0.777
10 Te 0.574 0.900 0.223
11 Te 0.748 0.748 0.769
12 Te 0.900 0.574 0.223

=====

Entry 4:
The following is a DFT calculation (GGA-PBE) of crystalline Ca3Ac2TmTe6 at its relaxed geometry.

Summary:
Space group: C2/m
Electronic total energy: -55.31 eV/f.u.
Crystal system: monoclinic

Cell: 7.860 7.860 7.932 Å, 99.58 99.58 119.90°
Element x y z (fractional)
1 Ca 0.000 0.000 0.000
2 Ca 0.327 0.673 0.000
3 Ca 0.673 0.327 0.000
4 Ac 0.165 0.835 0.500
5 Ac 0.835 0.165 0.500
6 Tm 0.500 0.500 0.500
7 Te 0.100 0.415 0.243
8 Te 0.274 0.274 0.760
9 Te 0.415 0.100 0.243
10 Te 0.585 0.900 0.757
11 Te 0.726 0.726 0.240
12 Te 0.900 0.585 0.757

=====

Entry 5:
The following is a DFT calculation (GGA-PBE) of crystalline CaAc2TmTe4 at its relaxed geometry.

Summary:
Space group: P2/m
Electronic total energy: -38.71 eV/f.u.
Crystal system: monoclinic

Cell: 7.750 4.466 8.180 Å, 90.00 108.25 90.00°
Element x y z (fractional)
1 Ca 0.000 0.000 0.000
2 Ac 0.000 0.500 0.500
3 Ac 0.500 0.000 0.500
4 Tm 0.500 0.500 0.000
5 Te 0.247 0.500 0.224
6 Te 0.264 0.000 0.779
7 Te 0.736 0.000 0.221
8 Te 0.753 0.500 0.776

=====

Entry 6:
The following is a DFT calculation (GGA-PBE) of crystalline CaAc2TmTe5 at its relaxed geometry.

Summary:
Space group: P4/mmm
Electronic total energy: -40.94 eV/f.u.
Crystal system: tetragonal

Cell: 5.498 5.498 11.694 Å, 90.00 90.00 90.00°
Element x y z (fractional)
1 Ca 0.000 0.000 0.000
2 Ac 0.500 0.500 0.297
3 Ac 0.500 0.500 0.703
4 Tm 0.000 0.000 0.500
5 Te 0.000 0.000 0.247
6 Te 0.000 0.000 0.753
7 Te 0.000 0.500 0.500
8 Te 0.500 0.000 0.500
9 Te 0.500 0.500 0.000

=====

Entry 7:
The following is a DFT calculation (GGA-PBE) of crystalline Ca2AcTmTe4 at its relaxed geometry.

Summary:
Space group: P2/m
Electronic total energy: -36.73 eV/f.u.
Crystal system: monoclinic

Cell: 7.816 4.486 7.879 Å, 90.00 109.08 90.00°
Element x y z (fractional)
1 Ca 0.000 0.000 0.000
2 Ca 0.500 0.500 0.000
3 Ac 0.000 0.500 0.500
4 Tm 0.500 0.000 0.500
5 Te 0.266 0.500 0.252
6 Te 0.269 0.000 0.760
7 Te 0.731 0.000 0.240
8 Te 0.734 0.500 0.748

=====

Entry 8:
The following is a DFT calculation (GGA-PBE) of crystalline Ca3Ac2YTe6 at its relaxed geometry.

Summary:
Space group: C2/m
Electronic total energy: -57.63 eV/f.u.
Crystal system: monoclinic

Cell: 7.863 7.863 7.977 Å, 99.51 99.51 119.94°
Element x y z (fractional)
1 Ca 0.000 0.000 0.000
2 Ca 0.328 0.672 0.000
3 Ca 0.672 0.328 0.000
4 Ac 0.166 0.834 0.500
5 Ac 0.834 0.166 0.500
6 Y 0.500 0.500 0.500
7 Te 0.095 0.414 0.240
8 Te 0.270 0.270 0.762
9 Te 0.414 0.095 0.240
10 Te 0.586 0.905 0.760
11 Te 0.730 0.730 0.238
12 Te 0.905 0.586 0.760

=====

Entry 9:
The following is a DFT calculation (GGA-PBE) of crystalline CaAc3Y3Te8 at its relaxed geometry.

Summary:
Space group: R-3m
Electronic total energy: -81.04 eV/f.u.
Crystal system: trigonal

Cell: 9.161 9.161 9.161 Å, 58.75 58.75 58.75°
Element x y z (fractional)
1 Ca 0.000 0.000 0.000
2 Ac 0.000 0.000 0.500
3 Ac 0.000 0.500 0.000
4 Ac 0.500 0.000 0.000
5 Y 0.000 0.500 0.500
6 Y 0.500 0.000 0.500
7 Y 0.500 0.500 0.000
8 Te 0.250 0.250 0.733
9 Te 0.250 0.733 0.250
10 Te 0.258 0.258 0.258
11 Te 0.267 0.750 0.750
12 Te 0.733 0.250 0.250
13 Te 0.742 0.742 0.742
14 Te 0.750 0.267 0.750
15 Te 0.750 0.750 0.267

=====

Entry 10:
The following is a DFT calculation (GGA-PBE) of crystalline CaAcTh at its relaxed geometry.

Summary:
Energy relative to the lowest polymorph listed for this composition: 0 kJ/mol of formula units
Space group: P3m1
E_form: 0.13 eV per atom
Crystal system: trigonal

Cell: 3.769 3.769 9.448 Å, 90.00 90.00 120.00°
Element x y z (fractional)
1 Ca 0.000 0.000 0.000
2 Ac 0.333 0.667 0.638
3 Th 0.667 0.333 0.324

=====

Entry 11:
The following is a DFT calculation (GGA-PBE) of crystalline CaAcTh at its relaxed geometry.

Summary:
Energy relative to the lowest polymorph listed for this composition: 4 kJ/mol of formula units
Space group: I4mm
E_form: 0.15 eV per atom
Crystal system: tetragonal

Cell: 8.759 8.759 8.759 Å, 155.27 155.27 35.25°
Element x y z (fractional)
1 Ca 0.000 0.000 0.000
2 Ac 0.686 0.686 0.000
3 Th 0.338 0.338 0.000

=====

Entry 12:
The following is a DFT calculation (GGA-PBE) of crystalline Ca2AcTh at its relaxed geometry.

Summary:
Space group: R-3m
E_form: 0.30 eV per atom
Crystal system: trigonal

Cell: 13.880 13.880 13.880 Å, 15.06 15.06 15.06°
Element x y z (fractional)
1 Ca 0.086 0.086 0.086
2 Ca 0.914 0.914 0.914
3 Ac 0.500 0.500 0.500
4 Th 0.000 0.000 0.000